# 1
## Nd16Dy6Er7 (GGA-PBE)

Data for crystalline Nd16Dy6Er7 at its relaxed geometry.

Output
VASP energy (eV/atom): -4.479
M_tot (μB/f.u.): 0.0

Cell lengths 11.2945, 11.2945, 11.2945 Å; angles 60.00, 60.00, 60.00 degrees
Last column: nearest neighbours and their distance in Å.
Fractional coordinates of all 29 atoms:
Nd  0.8750  0.8750  0.3751  4 Er 3.46, 3 Dy 3.61, 3 Nd 3.65
Nd  0.8750  0.8750  0.8750  4 Er 3.46, 3 Dy 3.61, 3 Nd 3.65
Nd  0.8750  0.3751  0.8750  4 Er 3.46, 3 Dy 3.61, 3 Nd 3.65
Nd  0.3751  0.8750  0.8750  4 Er 3.46, 3 Dy 3.61, 3 Nd 3.65
Nd  0.1250  0.1250  0.1250  4 Er 3.46, 3 Dy 3.61, 3 Nd 3.65
Nd  0.1250  0.1250  0.6249  4 Er 3.46, 3 Dy 3.61, 3 Nd 3.65
Nd  0.1250  0.6249  0.1250  4 Er 3.46, 3 Dy 3.61, 3 Nd 3.65
Nd  0.6249  0.1250  0.1250  4 Er 3.46, 3 Dy 3.61, 3 Nd 3.65
Nd  0.6491  0.6491  0.0528  3 Er 3.30, 3 Dy 3.63, 3 Nd 3.65
Nd  0.6491  0.6491  0.6491  3 Er 3.30, 3 Dy 3.63, 3 Nd 3.65
Nd  0.6491  0.0528  0.6491  3 Er 3.30, 3 Dy 3.63, 3 Nd 3.65
Nd  0.0528  0.6491  0.6491  3 Er 3.30, 3 Dy 3.63, 3 Nd 3.65
Nd  0.3509  0.3509  0.3509  3 Er 3.30, 3 Dy 3.63, 3 Nd 3.65
Nd  0.3509  0.3509  0.9472  3 Er 3.30, 3 Dy 3.63, 3 Nd 3.65
Nd  0.3509  0.9472  0.3509  3 Er 3.30, 3 Dy 3.63, 3 Nd 3.65
Nd  0.9472  0.3509  0.3509  3 Er 3.30, 3 Dy 3.63, 3 Nd 3.65
Dy  0.2656  0.7344  0.2656  8 Nd 3.61-3.63, 4 Er 4.00
Dy  0.7344  0.2656  0.7344  8 Nd 3.61-3.63, 4 Er 4.00
Dy  0.7344  0.2656  0.2656  8 Nd 3.61-3.63, 4 Er 4.00
Dy  0.2656  0.7344  0.7344  8 Nd 3.61-3.63, 4 Er 4.00
Dy  0.7344  0.7344  0.2656  8 Nd 3.61-3.63, 4 Er 4.00
Dy  0.2656  0.2656  0.7344  8 Nd 3.61-3.63, 4 Er 4.00
Er  0.0000  0.0000  0.0000  8 Nd 3.46
Er  0.5000  0.0000  0.5000  8 Nd 3.30-3.46
Er  0.0000  0.5000  0.0000  8 Nd 3.30-3.46
Er  0.0000  0.5000  0.5000  8 Nd 3.30-3.46
Er  0.5000  0.0000  0.0000  8 Nd 3.30-3.46
Er  0.0000  0.0000  0.5000  8 Nd 3.30-3.46
Er  0.5000  0.5000  0.0000  8 Nd 3.30-3.46

***

# 2
## Nd2Dy3Er (GGA-PBE)

Data for crystalline Nd2Dy3Er at its relaxed geometry.

Output
M_tot (μB/f.u.): 0.0
Energy above the most stable polymorph in this dataset (eV per formula unit): 0.57

Cell lengths 6.6844, 10.1842, 10.1842 Å; angles 68.50, 49.26, 49.26 degrees
Last column: nearest neighbours and their distance in Å.
Fractional coordinates of all 12 atoms:
Nd  0.5857  0.5977  0.0676  7 Dy 3.44-3.80, 3 Nd 3.46-3.77, 2 Er 3.60-3.62
Nd  0.9143  0.9324  0.4023  7 Dy 3.44-3.80, 3 Nd 3.46-3.77, 2 Er 3.60-3.62
Nd  0.0857  0.0676  0.5977  7 Dy 3.44-3.80, 3 Nd 3.46-3.77, 2 Er 3.60-3.62
Nd  0.4143  0.4023  0.9324  7 Dy 3.44-3.80, 3 Nd 3.46-3.77, 2 Er 3.60-3.62
Dy  0.7500  0.7344  0.2656  6 Nd 3.44-3.80, 2 Er 3.47, 4 Dy 3.60-3.61
Dy  0.2500  0.2656  0.7344  6 Nd 3.44-3.80, 2 Er 3.47, 4 Dy 3.60-3.61
Dy  0.1655  0.6677  0.6667  5 Dy 3.34-3.61, 1 Er 3.44, 4 Nd 3.47-3.61
Dy  0.3345  0.3333  0.3323  5 Dy 3.34-3.61, 1 Er 3.44, 4 Nd 3.47-3.61
Dy  0.8345  0.3323  0.3333  5 Dy 3.34-3.61, 1 Er 3.44, 4 Nd 3.47-3.61
Dy  0.6655  0.6667  0.6677  5 Dy 3.34-3.61, 1 Er 3.44, 4 Nd 3.47-3.61
Er  0.5000  0.0000  0.0000  2 Er 3.34, 4 Dy 3.44-3.47, 4 Nd 3.60-3.62
Er  0.0000  0.0000  0.0000  2 Er 3.34, 4 Dy 3.44-3.47, 4 Nd 3.60-3.62

***

# 3
## Nd2Dy3Er6 (GGA-PBE)

Data for crystalline Nd2Dy3Er6 at its relaxed geometry.

Output
M_tot (μB/f.u.): 0.0
Energy above the most stable polymorph in this dataset (eV per formula unit): 0.00

Cell lengths 6.0799, 6.0865, 11.6529 Å; angles 84.97, 79.89, 60.04 degrees
Last column: nearest neighbours and their distance in Å.
Fractional coordinates of all 11 atoms:
Nd  0.1666  0.6668  0.5000  3 Nd 3.51, 6 Er 3.54
Nd  0.8334  0.3332  0.5000  3 Nd 3.51, 6 Er 3.54
Dy  0.0000  0.0000  0.0000  6 Er 3.48-3.49, 6 Dy 3.50-3.53
Dy  0.3351  0.3297  0.0000  6 Er 3.47-3.49, 6 Dy 3.48-3.53
Dy  0.6649  0.6703  0.0000  6 Er 3.47-3.49, 6 Dy 3.48-3.53
Er  0.4158  0.6666  0.7531  3 Dy 3.48-3.49, 6 Er 3.51-3.52, 2 Nd 3.54
Er  0.7492  0.0000  0.7530  3 Dy 3.47-3.49, 6 Er 3.51-3.52, 2 Nd 3.54
Er  0.0824  0.3334  0.7531  3 Dy 3.48-3.49, 6 Er 3.51-3.52, 2 Nd 3.54
Er  0.2508  0.0000  0.2470  3 Dy 3.47-3.49, 6 Er 3.51-3.52, 2 Nd 3.54
Er  0.5842  0.3334  0.2469  3 Dy 3.48-3.49, 6 Er 3.51-3.52, 2 Nd 3.54
Er  0.9176  0.6666  0.2469  3 Dy 3.48-3.49, 6 Er 3.51-3.52, 2 Nd 3.54